{
  "formula": "CsTbAuS2",
  "functional": "PBE-GGA",
  "state": "relaxed",
  "formation_energy_uncorrected_ev_per_fu": -5.82,
  "magnetic_moment_mub_per_atom": 0.00,
  "n_ef_per_ev_cell": 6.4,
  "lattice": [[8.014, 0.000, 0.000], [0.000, 5.106, 0.000], [-1.398, 0.000, 7.649]],
  "species": ["Cs", "Cs", "Tb", "Tb", "Au", "Au", "S", "S", "S", "S"],
  "frac_coords": [[0.000, 0.156, 0.250], [0.000, 0.844, 0.750], [0.500, 0.494, 0.750], [0.500, 0.506, 0.250], [0.500, 0.000, 0.000], [0.500, 0.000, 0.500], [0.281, 0.344, 0.961], [0.281, 0.656, 0.461], [0.719, 0.344, 0.539], [0.719, 0.656, 0.039]]
}